LiYSn2 | PBE | optimized geometry

DOS(E_F) in states/eV/atom: 0.362
Magnetization in μB per cell: 0.0
ΔE_f in meV per atom: -571
DFT total energy in eV/atom: -4.667

Lattice parameters (Å, degrees): 4.633 4.633 4.435 90.00 90.00 90.00
Space group P4/mmm (No. 123)
Inequivalent atoms, fractional coordinates:
1 Li 0.000 0.000 0.000 x1
2 Y 0.500 0.500 0.000 x1
3 Sn 0.000 0.500 0.500 x2